# 1
A plane-wave DFT calculation with PBE was carried out for a relaxed SbTePb2 crystal.

Geometry as POSCAR:
```
SbTePb2
1.0
-1.1510 -6.3918 -0.7142
5.1651 -3.9499 -0.6400
-2.9518 4.3908 3.8337
Pb Sb Te
2 1 1
Direct
0.0044 0.0044 0.0000
0.4956 0.4956 0.0000
0.2500 0.7500 0.5000
0.7500 0.2500 0.5000
```

For the relative energy among the computed polymorphs, the calculation gives 171.4 meV/atom. As for the uncorrected formation energy: 0.050 eV per atom.

***

# 2
A plane-wave DFT calculation with PBE was carried out for a relaxed SbTePb2 crystal.

Geometry as POSCAR:
```
SbTePb2
1.0
-3.3355 -2.1950 5.9287
1.0279 -2.2258 6.7144
-0.2330 4.2994 1.4620
Pb Sb Te
2 1 1
Direct
0.0309 0.0309 0.1252
0.7200 0.7200 0.6247
0.4908 0.4908 0.6253
0.2583 0.2583 0.1247
```

For the relative energy among the computed polymorphs, the calculation gives 32.1 meV/atom. As for the uncorrected formation energy: -0.090 eV per atom.

***

# 3
A plane-wave DFT calculation with PBE was carried out for a relaxed SbTePb2 crystal.

Geometry as POSCAR:
```
SbTePb2
1.0
5.5556 0.0000 0.0000
2.7778 4.8113 0.0000
2.7778 1.6038 4.5361
Pb Sb Te
2 1 1
Direct
0.0000 0.0000 0.0000
0.2500 0.2500 0.2500
0.5000 0.5000 0.5000
0.7500 0.7500 0.7500
```

For the relative energy among the computed polymorphs, the calculation gives 233.9 meV/atom. As for the uncorrected formation energy: 0.112 eV per atom.

***

# 4
A plane-wave DFT calculation with PBE was carried out for a relaxed SbTePb2 crystal.

Geometry as POSCAR:
```
SbTePb2
1.0
-2.1223 1.9843 1.7890
-0.4548 -3.2004 1.0922
7.7376 1.4749 7.5433
Pb Sb Te
2 1 1
Direct
0.0000 0.0000 0.0010
0.0000 0.0000 0.4990
0.5000 0.5000 0.2500
0.5000 0.5000 0.7500
```

For the relative energy among the computed polymorphs, the calculation gives 185.9 meV/atom. As for the uncorrected formation energy: 0.064 eV per atom.

***

# 5
A plane-wave DFT calculation with PBE was carried out for a relaxed SbTe2Pb2 crystal.

Geometry as POSCAR:
```
SbTe2Pb2
1.0
-0.4805 2.6178 3.3687
-1.6876 -3.2302 2.2694
7.2374 -2.5789 5.7721
Pb Sb Te
2 1 2
Direct
0.4087 0.4087 0.1826
0.5913 0.5913 0.8174
0.0000 0.0000 0.0000
0.7500 0.2500 0.5000
0.2500 0.7500 0.5000
```

For the relative energy among the computed polymorphs, the calculation gives 61.3 meV/atom. As for the uncorrected formation energy: 0.052 eV per atom.

***

# 6
A plane-wave DFT calculation with PBE was carried out for a relaxed SbTePb crystal.

Geometry as POSCAR:
```
SbTePb
1.0
5.2996 0.0000 0.0000
2.6498 4.5896 0.0000
2.6498 1.5299 4.3271
Pb Sb Te
1 1 1
Direct
0.5000 0.5000 0.5000
0.7500 0.7500 0.7500
0.0000 0.0000 0.0000
```

For the relative energy among the computed polymorphs, the calculation gives 170.3 meV/atom. As for the uncorrected formation energy: 0.134 eV per atom.

***

# 7
A plane-wave DFT calculation with PBE was carried out for a relaxed SbTe3Pb crystal.

Geometry as POSCAR:
```
SbTe3Pb
1.0
-2.6105 -0.4652 5.0339
5.9900 -2.9896 2.8301
0.4311 11.4704 1.2837
Sb Te Pb
2 6 2
Direct
0.2500 0.1265 0.6521
0.7500 0.8735 0.3479
0.2500 0.0168 0.8767
0.7500 0.9832 0.1233
0.2500 0.0108 0.3675
0.7500 0.9892 0.6325
0.2500 0.5403 0.7460
0.7500 0.4597 0.2540
0.2500 0.2419 0.1718
0.7500 0.7581 0.8282
```

For the relative energy among the computed polymorphs, the calculation gives 114.3 meV/atom. As for the uncorrected formation energy: -0.046 eV per atom.

***

# 8
A plane-wave DFT calculation with PBE was carried out for a relaxed SbTePb2 crystal.

Geometry as POSCAR:
```
SbTePb2
1.0
0.0000 3.9489 3.9489
3.9489 0.0000 3.9489
3.9489 3.9489 0.0000
Pb Sb Te
2 1 1
Direct
0.2500 0.2500 0.2500
0.7500 0.7500 0.7500
0.0000 0.0000 0.0000
0.5000 0.5000 0.5000
```

For the relative energy among the computed polymorphs, the calculation gives 132.9 meV/atom. As for the uncorrected formation energy: 0.011 eV per atom.

***

# 9
A plane-wave DFT calculation with PBE was carried out for a relaxed SbTePb2 crystal.

Geometry as POSCAR:
```
SbTePb2
1.0
4.3920 0.0000 0.0000
2.1960 3.8036 0.0000
2.1960 1.2679 8.2012
Sb Te Pb
1 1 2
Direct
0.6643 0.6643 0.0070
0.4935 0.4935 0.5194
0.0833 0.0833 0.7501
0.2588 0.2588 0.2235
```

For the relative energy among the computed polymorphs, the calculation gives 48.2 meV/atom. As for the uncorrected formation energy: -0.074 eV per atom.

***

# 10
A plane-wave DFT calculation with PBE was carried out for a relaxed SbTe2Pb2 crystal.

Geometry as POSCAR:
```
SbTe2Pb2
1.0
8.6767 0.0000 0.0000
0.0000 8.6767 0.0000
0.0000 0.0000 4.3314
Pb Sb Te
4 2 4
Direct
0.1523 0.6523 0.5000
0.6523 0.8477 0.5000
0.8477 0.3477 0.5000
0.3477 0.1523 0.5000
0.0000 0.0000 0.0000
0.5000 0.5000 0.0000
0.3411 0.8411 0.0000
0.8411 0.6589 0.0000
0.6589 0.1589 0.0000
0.1589 0.3411 0.0000
```

For the relative energy among the computed polymorphs, the calculation gives 0.0 meV/atom. As for the uncorrected formation energy: -0.010 eV per atom.

***

# 11
A plane-wave DFT calculation with PBE was carried out for a relaxed SbTePb2 crystal.

Geometry as POSCAR:
```
SbTePb2
1.0
11.3470 0.0501 0.0294
10.7791 3.5453 0.0294
10.7791 1.7515 3.0826
Pb Sb Te
2 1 1
Direct
0.9987 0.9987 0.9987
0.5013 0.5013 0.5013
0.2500 0.2500 0.2500
0.7500 0.7500 0.7500
```

For the relative energy among the computed polymorphs, the calculation gives 197.4 meV/atom. As for the uncorrected formation energy: 0.076 eV per atom.

***

# 12
A plane-wave DFT calculation with PBE was carried out for a relaxed SbTePb2 crystal.

Geometry as POSCAR:
```
SbTePb2
1.0
-5.0549 5.5027 -4.2369
-7.7838 2.2828 -2.8257
-6.5636 5.5407 -0.0501
Pb Sb Te
2 1 1
Direct
0.0076 0.0076 0.0076
0.2384 0.2384 0.2384
0.5105 0.5105 0.5105
0.7435 0.7435 0.7435
```

For the relative energy among the computed polymorphs, the calculation gives 100.6 meV/atom. As for the uncorrected formation energy: -0.021 eV per atom.

***

# 13
A plane-wave DFT calculation with PBE was carried out for a relaxed SbTePb crystal.

Geometry as POSCAR:
```
SbTePb
1.0
-0.3595 -3.4839 -4.6694
4.1924 -0.8621 3.9687
-1.9157 -1.9476 1.6006
Pb Sb Te
1 1 1
Direct
0.0000 0.0000 0.2457
0.6667 0.3333 0.3831
0.3333 0.6667 0.3712
```

For the relative energy among the computed polymorphs, the calculation gives 110.1 meV/atom. As for the uncorrected formation energy: 0.073 eV per atom.

***

# 14
A plane-wave DFT calculation with PBE was carried out for a relaxed SbTe3Pb crystal.

Geometry as POSCAR:
```
SbTe3Pb
1.0
5.7382 0.0000 0.0000
0.0000 5.7382 0.0000
0.0000 0.0000 5.7382
Pb Sb Te
1 1 3
Direct
0.5000 0.5000 0.5000
0.0000 0.0000 0.0000
0.0000 0.5000 0.0000
0.0000 0.0000 0.5000
0.5000 0.0000 0.0000
```

For the relative energy among the computed polymorphs, the calculation gives 432.8 meV/atom. As for the uncorrected formation energy: 0.273 eV per atom.

***

# 15
A plane-wave DFT calculation with PBE was carried out for a relaxed SbTePb2 crystal.

Geometry as POSCAR:
```
SbTePb2
1.0
-5.4143 1.7861 -3.2916
-0.6512 -4.5003 4.3966
-1.8555 1.8225 2.4092
Pb Sb Te
2 1 1
Direct
0.0000 0.0000 0.0000
0.5000 0.0000 0.5000
0.0000 0.5000 0.5000
0.5000 0.5000 0.0000
```

For the relative energy among the computed polymorphs, the calculation gives 182.1 meV/atom. As for the uncorrected formation energy: 0.060 eV per atom.

***

# 16
A plane-wave DFT calculation with PBE was carried out for a relaxed SbTe3Pb4 crystal.

Geometry as POSCAR:
```
SbTe3Pb4
1.0
7.9383 0.1050 0.0000
-2.6844 7.5075 0.0000
0.0000 0.0000 9.1808
Pb Sb Te
8 2 6
Direct
0.9967 0.2490 0.6258
0.4977 0.2386 0.8828
0.4967 0.2490 0.3742
0.9977 0.2386 0.1172
0.0023 0.7614 0.8828
0.5033 0.7510 0.6258
0.5023 0.7614 0.1172
0.0033 0.7510 0.3742
0.7500 0.0000 0.8721
0.2500 0.0000 0.1279
0.7500 0.0000 0.3742
0.2500 0.0000 0.6258
0.7500 0.5000 0.6268
0.7500 0.5000 0.1259
0.2500 0.5000 0.3732
0.2500 0.5000 0.8741
```

As for the uncorrected formation energy: -0.247 eV per atom.

***

# 17
A plane-wave DFT calculation with PBE was carried out for a relaxed SbTe3Pb crystal.

Geometry as POSCAR:
```
SbTe3Pb
1.0
-0.2914 0.6046 -4.6394
-4.1778 -7.6507 -0.7346
-14.9228 7.9593 1.9745
Sb Te Pb
4 12 4
Direct
0.2500 0.6706 0.5717
0.7500 0.3294 0.4283
0.7500 0.8294 0.0717
0.2500 0.1706 0.9283
0.7500 0.2123 0.2657
0.2500 0.6110 0.0180
0.2500 0.0344 0.1061
0.2500 0.5344 0.3939
0.2500 0.1110 0.4820
0.7500 0.4656 0.6061
0.2500 0.2877 0.7657
0.7500 0.9656 0.8939
0.7500 0.3890 0.9820
0.7500 0.7123 0.2343
0.7500 0.8890 0.5180
0.2500 0.7877 0.7343
0.2500 0.9816 0.3006
0.7500 0.0184 0.6994
0.7500 0.5184 0.8006
0.2500 0.4816 0.1994
```

For the relative energy among the computed polymorphs, the calculation gives 0.0 meV/atom. As for the uncorrected formation energy: -0.160 eV per atom.

***

# 18
A plane-wave DFT calculation with PBE was carried out for a relaxed SbTePb crystal.

Geometry as POSCAR:
```
SbTePb
1.0
9.2496 0.1922 -0.1546
8.5331 3.3783 0.0532
0.7165 -0.4799 3.1566
Pb Sb Te
1 1 1
Direct
0.0054 0.0054 0.9946
0.6488 0.6488 0.3512
0.3458 0.3458 0.6542
```

For the relative energy among the computed polymorphs, the calculation gives 173.4 meV/atom. As for the uncorrected formation energy: 0.137 eV per atom.

***

# 19
A plane-wave DFT calculation with PBE was carried out for a relaxed SbTePb2 crystal.

Geometry as POSCAR:
```
SbTePb2
1.0
6.6505 0.0003 0.0000
3.3989 5.7164 0.0000
-5.0247 -2.8583 3.2881
Pb Sb Te
2 1 1
Direct
0.0000 0.0000 0.0000
0.2500 0.7500 0.5000
0.5000 0.5000 0.0000
0.7500 0.2500 0.5000
```

For the relative energy among the computed polymorphs, the calculation gives 153.0 meV/atom. As for the uncorrected formation energy: 0.031 eV per atom.

***

# 20
A plane-wave DFT calculation with PBE was carried out for a relaxed SbTePb2 crystal.

Geometry as POSCAR:
```
SbTePb2
1.0
3.4236 0.0436 0.0000
-1.0697 3.2524 0.0000
0.0000 0.0000 10.9858
Pb Sb Te
2 1 1
Direct
0.0000 0.0000 0.9863
0.5000 0.5000 0.2646
0.0000 0.0000 0.4908
0.5000 0.5000 0.7583
```

For the relative energy among the computed polymorphs, the calculation gives 246.4 meV/atom. As for the uncorrected formation energy: 0.125 eV per atom.

***

# 21
A plane-wave DFT calculation with PBE was carried out for a relaxed Sb2Te2Pb crystal.

Geometry as POSCAR:
```
Sb2Te2Pb
1.0
5.9998 0.0000 0.0000
0.0000 5.9998 0.0000
2.9999 2.9999 4.7141
Pb Sb Te
1 2 2
Direct
0.0000 0.0000 0.0000
0.3358 0.3358 0.3285
0.6642 0.6642 0.6715
0.7500 0.2500 0.5000
0.2500 0.7500 0.5000
```

For the relative energy among the computed polymorphs, the calculation gives 56.8 meV/atom. As for the uncorrected formation energy: 0.111 eV per atom.

***

# 22
A plane-wave DFT calculation with PBE was carried out for a relaxed SbTePb2 crystal.

Geometry as POSCAR:
```
SbTePb2
1.0
-3.7633 1.6013 -1.9332
1.4520 -1.4564 -4.0328
-3.0189 -5.8546 1.0273
Pb Sb Te
2 1 1
Direct
0.0000 0.0000 0.8710
0.5000 0.5000 0.3499
0.0000 0.0000 0.3937
0.5000 0.5000 0.8854
```

For the relative energy among the computed polymorphs, the calculation gives 0.0 meV/atom. As for the uncorrected formation energy: -0.122 eV per atom.

***

# 23
A plane-wave DFT calculation with PBE was carried out for a relaxed Sb3Te5Pb12 crystal.

Geometry as POSCAR:
```
Sb3Te5Pb12
1.0
16.1296 0.0000 0.0000
-5.3765 15.2071 0.0000
-5.3765 -7.6036 13.1698
Sb Te Pb
12 20 48
Direct
0.7500 0.3750 0.1250
0.8750 0.7500 0.1250
0.3750 0.7500 0.6250
0.2500 0.1250 0.3750
0.8750 0.1250 0.2500
0.3750 0.6250 0.2500
0.6250 0.3750 0.7500
0.1250 0.8750 0.7500
0.7500 0.8750 0.6250
0.6250 0.2500 0.3750
0.1250 0.2500 0.8750
0.2500 0.6250 0.8750
0.1250 0.3750 0.2500
0.0000 0.5000 0.0000
0.0000 0.0000 0.0000
0.3750 0.2500 0.1250
0.5000 0.0000 0.5000
0.5000 0.5000 0.0000
0.1250 0.7500 0.3750
0.7500 0.1250 0.8750
0.7500 0.6250 0.3750
0.3750 0.1250 0.7500
0.6250 0.8750 0.2500
0.5000 0.5000 0.5000
0.5000 0.0000 0.0000
0.0000 0.0000 0.5000
0.2500 0.3750 0.6250
0.2500 0.8750 0.1250
0.0000 0.5000 0.5000
0.8750 0.2500 0.6250
0.6250 0.7500 0.8750
0.8750 0.6250 0.7500
0.7327 0.1425 0.0675
0.3348 0.5675 0.4250
0.9325 0.3575 0.2673
0.5675 0.2327 0.1425
0.5902 0.7327 0.6652
0.9325 0.5750 0.1652
0.3348 0.7673 0.4098
0.0750 0.9098 0.1425
0.5750 0.9325 0.6652
0.7327 0.5902 0.1652
0.7673 0.4325 0.3575
0.8348 0.9250 0.0675
0.1425 0.7327 0.5675
0.3575 0.4250 0.0902
0.0902 0.9250 0.3575
0.4098 0.1425 0.5750
0.0902 0.1652 0.2327
0.4325 0.6652 0.0750
0.8348 0.9098 0.2673
0.1425 0.4098 0.0750
0.3575 0.9325 0.7673
0.5750 0.6425 0.4098
0.9250 0.8348 0.5675
0.7673 0.3348 0.9098
0.4250 0.3575 0.5902
0.0750 0.1652 0.4325
0.2327 0.6652 0.0902
0.1652 0.0902 0.7327
0.6425 0.0675 0.2327
0.8575 0.5902 0.9250
0.5675 0.3348 0.9250
0.5902 0.8575 0.4250
0.9098 0.8348 0.7673
0.9098 0.0750 0.6425
0.8575 0.2673 0.4325
0.1652 0.0750 0.9325
0.6425 0.5750 0.9098
0.4250 0.0675 0.3348
0.2673 0.4098 0.8348
0.2327 0.5675 0.6425
0.9250 0.0902 0.8575
0.6652 0.2327 0.5902
0.4325 0.7673 0.8575
0.0675 0.4250 0.8348
0.4098 0.2673 0.3348
0.0675 0.6425 0.7327
0.6652 0.4325 0.5750
0.2673 0.8575 0.9325
```

As for the uncorrected formation energy: 0.015 eV per atom.